Below is a relaxed PaMnGaRh crystal, with properties calculated at the PBE level.

Values from the calculation:
Its formation energy is -34 kJ per mole of atoms. The density of states at the Fermi level comes out at 0.561 states/eV/atom.

```
data_PaMnGaRh
_chemical_formula_sum 'Pa4 Mn4 Ga4 Rh4'
_symmetry_space_group_name_H-M 'F -4 3 m'
_symmetry_Int_Tables_number 216
_symmetry_space_group_name_Hall 'F -4 2 3'
_cell_length_a 6.4427
_cell_length_b 6.4427
_cell_length_c 6.4427
_cell_angle_alpha 90.00
_cell_angle_beta 90.00
_cell_angle_gamma 90.00
loop_
_atom_site_label
_atom_site_type_symbol
_atom_site_fract_x
_atom_site_fract_y
_atom_site_fract_z
Pa1 Pa 0.0000 0.0000 0.0000
Mn1 Mn 0.2500 0.2500 0.2500
Ga1 Ga 0.0000 0.0000 0.5000
Rh1 Rh 0.2500 0.2500 0.7500
```